1.
# NdAgBr4 PBE optimized geometry
data_NdAgBr4
_chemical_formula_sum 'Nd1 Ag1 Br4'
_cell_length_a 7.1221
_cell_length_b 4.2848
_cell_length_c 7.3423
_cell_angle_alpha 90.00
_cell_angle_beta 97.58
_cell_angle_gamma 90.00
_symmetry_space_group_name_H-M 'P 1'
_symmetry_Int_Tables_number 1
loop_
_symmetry_equiv_pos_as_xyz
'x,y,z'
loop_
_atom_site_label
_atom_site_type_symbol
_atom_site_fract_x
_atom_site_fract_y
_atom_site_fract_z
Nd1 Nd 0.0000 0.0000 0.0000
Ag1 Ag 0.0000 0.5000 0.5000
Br1 Br 0.2097 0.0000 0.6888
Br2 Br 0.2462 0.5000 0.1678
Br3 Br 0.7538 0.5000 0.8322
Br4 Br 0.7903 0.0000 0.3112
# **V**: 222 Å³ per cell
# **Crystal system**: monoclinic
# **Energy relative to the elements, uncorrected**: -129 kJ/mol of atoms


2.
# NdAg3Br6 PBE optimized geometry
data_NdAg3Br6
_chemical_formula_sum 'Nd1 Ag3 Br6'
_cell_length_a 8.0020
_cell_length_b 8.0058
_cell_length_c 8.2615
_cell_angle_alpha 61.31
_cell_angle_beta 61.26
_cell_angle_gamma 62.74
_symmetry_space_group_name_H-M 'P 1'
_symmetry_Int_Tables_number 1
loop_
_symmetry_equiv_pos_as_xyz
'x,y,z'
loop_
_atom_site_label
_atom_site_type_symbol
_atom_site_fract_x
_atom_site_fract_y
_atom_site_fract_z
Nd1 Nd 0.0000 0.0000 0.0000
Ag1 Ag 0.0000 0.5000 0.0000
Ag2 Ag 0.5000 0.0000 0.0000
Ag3 Ag 0.5000 0.5000 0.5000
Br1 Br 0.2237 0.7304 0.7708
Br2 Br 0.2518 0.2524 0.7073
Br3 Br 0.2735 0.7723 0.2250
Br4 Br 0.7265 0.2277 0.7750
Br5 Br 0.7482 0.7476 0.2927
Br6 Br 0.7763 0.2696 0.2292
# **V**: 389 Å³ per cell
# **Crystal system**: triclinic
# **Energy relative to the elements, uncorrected**: -85 kJ/mol of atoms


3.
# NdAg5Br8 PBE optimized geometry
data_NdAg5Br8
_chemical_formula_sum 'Nd1 Ag5 Br8'
_cell_length_a 8.0428
_cell_length_b 8.0428
_cell_length_c 8.0428
_cell_angle_alpha 108.67
_cell_angle_beta 108.67
_cell_angle_gamma 111.09
_symmetry_space_group_name_H-M 'P 1'
_symmetry_Int_Tables_number 1
loop_
_symmetry_equiv_pos_as_xyz
'x,y,z'
loop_
_atom_site_label
_atom_site_type_symbol
_atom_site_fract_x
_atom_site_fract_y
_atom_site_fract_z
Nd1 Nd 0.0000 0.0000 0.0000
Ag1 Ag 0.2500 0.7500 0.5000
Ag2 Ag 0.2756 0.2787 0.5578
Ag3 Ag 0.2822 0.7244 0.0031
Ag4 Ag 0.7213 0.2791 0.9969
Ag5 Ag 0.7209 0.7178 0.4422
Br1 Br 0.3062 0.1022 0.7958
Br2 Br 0.3064 0.5104 0.2042
Br3 Br 0.3938 0.1037 0.2933
Br4 Br 0.4896 0.6938 0.7960
Br5 Br 0.8105 0.1005 0.7067
Br6 Br 0.8963 0.1895 0.2901
Br7 Br 0.8978 0.6936 0.2040
Br8 Br 0.8995 0.6062 0.7099
# **V**: 400 Å³ per cell
# **Crystal system**: tetragonal
# **Energy relative to the elements, uncorrected**: -72 kJ/mol of atoms


4.
# NdAgBr PBE optimized geometry
data_NdAgBr
_chemical_formula_sum 'Nd2 Ag2 Br2'
_cell_length_a 4.1584
_cell_length_b 5.1436
_cell_length_c 7.7455
_cell_angle_alpha 90.00
_cell_angle_beta 105.42
_cell_angle_gamma 90.00
_symmetry_space_group_name_H-M 'P 1'
_symmetry_Int_Tables_number 1
loop_
_symmetry_equiv_pos_as_xyz
'x,y,z'
loop_
_atom_site_label
_atom_site_type_symbol
_atom_site_fract_x
_atom_site_fract_y
_atom_site_fract_z
Nd1 Nd 0.1123 0.2500 0.2245
Nd2 Nd 0.8877 0.7500 0.7755
Ag1 Ag 0.4595 0.2500 0.9190
Ag2 Ag 0.5405 0.7500 0.0810
Br1 Br 0.2268 0.7500 0.4527
Br2 Br 0.7732 0.2500 0.5473
# **V**: 160 Å³ per cell
# **Crystal system**: monoclinic
# **Energy relative to the elements, uncorrected**: -79 kJ/mol of atoms